Entry 1:
Compound: MgReAg2
Source: the Alexandria database
Functional: PBE
Structure: relaxed

POSCAR file:
```
MgReAg2
1.0
5.798 0.000 0.003
3.009 4.956 -0.003
-3.662 -3.795 2.409
Mg Re Ag
1 1 2
direct
0.750 0.250 0.500 Mg
0.250 0.750 0.500 Re
0.003 0.003 0.000 Ag
0.497 0.497 0.000 Ag
```

The formation enthalpy at 0 K comes out at 503 meV/atom. The calculated total energy comes out at -0.1629 hartree per atom. The calculation puts the density of states at the Fermi level at 2.50 states/eV/cell.

Entry 2:
Compound: Mg2ReAg
Source: the Alexandria database
Functional: PBE
Structure: relaxed

POSCAR file:
```
Mg2ReAg
1.0
-0.896 1.770 -1.948
-1.471 -2.043 -1.180
-7.125 2.125 5.206
Re Mg Ag
1 2 1
direct
0.000 0.000 0.500 Re
0.000 0.000 0.985 Mg
0.500 0.500 0.269 Mg
0.500 0.500 0.745 Ag
```

The formation enthalpy at 0 K comes out at 317 meV/atom. The calculated total energy comes out at -0.1582 hartree per atom. The calculation puts the density of states at the Fermi level at 1.92 states/eV/cell. The excess energy over the best structure of this formula in the dataset is 187 meV/atom.

Entry 3:
Compound: MgReAg2
Source: the Alexandria database
Functional: PBE
Structure: relaxed

POSCAR file:
```
MgReAg2
1.0
-1.974 3.986 -2.047
-4.831 -0.791 0.099
3.245 -0.299 3.655
Ag Re Mg
2 1 1
direct
0.000 0.000 0.000 Ag
0.250 0.750 0.500 Ag
0.750 0.250 0.500 Re
0.500 0.500 0.000 Mg
```

The formation enthalpy at 0 K comes out at 662 meV/atom. The calculated total energy comes out at -0.1571 hartree per atom. The calculation puts the density of states at the Fermi level at 2.40 states/eV/cell.

Question: Among the records above, which one has the lowest formation enthalpy at 0 K?
Answer: Mg2ReAg